1.
This record from the Alexandria database describes a relaxed Sm4Ag3Au crystal. The functional is PBE-GGA.

Geometry as extended XYZ:
```
8
Lattice="3.6986 0.0000 0.0000 0.0000 3.6986 0.0000 0.0000 0.0000 14.8203" Properties=species:S:1:pos:R:3 pbc="T T T"
Sm 0.0000 0.0000 1.7987
Sm 0.0000 0.0000 5.5421
Sm 0.0000 0.0000 9.2782
Sm 0.0000 0.0000 13.0216
Ag 1.8493 1.8493 3.7041
Ag 1.8493 1.8493 7.4102
Ag 1.8493 1.8493 11.1163
Au 1.8493 1.8493 0.0000
```

Output
DFT formation energy = -3.31 eV per formula unit
Electronic total energy = -34.02 eV for the cell shown
Energy above the most stable polymorph in this dataset = 0 meV per atom

***

2.
This record from the Alexandria database describes a relaxed Sm6Ag2Au crystal. The functional is PBE-GGA.

Geometry as extended XYZ:
```
9
Lattice="8.0771 -3.6067 0.0000 8.0771 3.6067 0.0000 -1.6008 0.0000 4.8526" Properties=species:S:1:pos:R:3 pbc="T T T"
Sm 4.8760 1.8222 1.6253
Sm 8.0771 1.8400 0.0000
Sm 9.6775 1.8222 3.2273
Sm 4.8760 -1.8222 1.6253
Sm 8.0771 -1.8400 0.0000
Sm 9.6775 -1.8222 3.2273
Ag 4.0519 0.0000 4.0434
Ag 10.5016 0.0000 0.8093
Au -0.8004 0.0000 2.4263
```

Output
DFT formation energy = -0.67 eV per formula unit
Electronic total energy = -37.96 eV for the cell shown

***

3.
This record from the Alexandria database describes a relaxed Sm3Ag3Au2 crystal. The functional is PBE-GGA.

Geometry as extended XYZ:
```
8
Lattice="7.5886 0.0000 0.0000 -3.7943 6.5719 0.0000 0.0000 0.0000 3.8748" Properties=species:S:1:pos:R:3 pbc="T T T"
Sm -1.4886 2.5783 0.0000
Sm 2.9772 0.0000 0.0000
Sm 2.3057 3.9936 0.0000
Ag -2.9336 5.0811 1.9374
Ag 0.8607 1.4908 1.9374
Ag 5.8671 0.0000 1.9374
Au 0.0000 4.3813 1.9374
Au 3.7943 2.1906 1.9374
```

Output
DFT formation energy = -4.09 eV per formula unit
Electronic total energy = -33.36 eV for the cell shown

***

4.
This record from the Alexandria database describes a relaxed Sm7Ag2Au2 crystal. The functional is PBE-GGA.

Geometry as extended XYZ:
```
11
Lattice="5.4675 -3.8137 0.0000 5.4675 3.8137 0.0000 -0.0073 0.0000 7.8678" Properties=species:S:1:pos:R:3 pbc="T T T"
Sm 0.0000 0.0000 0.0000
Sm 2.7353 1.9070 2.2756
Sm 8.1923 -1.9070 5.5922
Sm 2.7353 -1.9070 2.2756
Sm 8.1923 1.9070 5.5922
Sm 5.4693 0.0000 2.1272
Sm 5.4584 0.0000 5.7406
Ag 3.1776 0.0000 0.0005
Ag 7.7501 0.0000 7.8673
Au 5.4638 2.4101 3.9339
Au 5.4638 -2.4101 3.9339
```

Output
DFT formation energy = -1.15 eV per formula unit
Electronic total energy = -46.44 eV for the cell shown

***

5.
This record from the Alexandria database describes a relaxed SmAgAu2 crystal. The functional is PBE-GGA.

Geometry as extended XYZ:
```
4
Lattice="3.6157 0.0000 0.0000 0.0000 3.6157 0.0000 0.0000 0.0000 6.5364" Properties=species:S:1:pos:R:3 pbc="T T T"
Sm 0.0000 0.0000 0.0000
Ag 0.0000 0.0000 3.2682
Au 1.8078 1.8078 1.7786
Au 1.8078 1.8078 4.7578
```

Output
DFT formation energy = -2.06 eV per formula unit
Electronic total energy = -16.18 eV for the cell shown
Energy above the most stable polymorph in this dataset = 66 meV per atom

***

6.
This record from the Alexandria database describes a relaxed Sm3Ag2Au2 crystal. The functional is PBE-GGA.

Geometry as extended XYZ:
```
14
Lattice="9.0420 0.0000 0.0000 0.0000 5.0653 0.0000 -1.7539 0.0000 8.1450" Properties=species:S:1:pos:R:3 pbc="T T T"
Sm 0.0000 0.0000 0.0000
Sm 1.4571 2.5326 2.4522
Sm 1.3100 0.0000 5.6929
Sm 4.5210 2.5326 0.0000
Sm 5.9781 0.0000 2.4522
Sm 5.8311 2.5326 5.6929
Ag -0.1976 2.5326 7.3133
Ag 2.9648 0.0000 0.8317
Ag 4.3234 0.0000 7.3133
Ag 7.4858 2.5326 0.8317
Au -0.0351 0.0000 2.9297
Au 2.8022 2.5326 5.2153
Au 4.4859 2.5326 2.9297
Au 7.3232 0.0000 5.2153
```

Output
DFT formation energy = -3.09 eV per formula unit
Electronic total energy = -59.02 eV for the cell shown

***

7.
This record from the Alexandria database describes a relaxed Sm4AgAu2 crystal. The functional is PBE-GGA.

Geometry as extended XYZ:
```
14
Lattice="7.2601 0.0000 0.0000 0.0000 7.2601 0.0000 0.0000 0.0000 7.3682" Properties=species:S:1:pos:R:3 pbc="T T T"
Sm 1.8150 1.8150 1.8421
Sm 1.8150 1.8150 5.5262
Sm 1.8150 5.4451 1.8421
Sm 1.8150 5.4451 5.5262
Sm 5.4451 1.8150 1.8421
Sm 5.4451 1.8150 5.5262
Sm 5.4451 5.4451 1.8421
Sm 5.4451 5.4451 5.5262
Ag 0.0000 0.0000 0.0000
Ag 3.6300 3.6300 3.6841
Au 0.0000 3.6300 0.0000
Au 0.0000 3.6300 3.6841
Au 3.6300 0.0000 0.0000
Au 3.6300 0.0000 3.6841
```

Output
DFT formation energy = -3.18 eV per formula unit
Electronic total energy = -62.93 eV for the cell shown
Energy above the most stable polymorph in this dataset = 0 meV per atom

***

8.
This record from the Alexandria database describes a relaxed Sm4Ag2Au crystal. The functional is PBE-GGA.

Geometry as extended XYZ:
```
14
Lattice="7.3012 0.0000 0.0000 0.0000 10.4024 0.0000 0.0000 0.0000 5.1689" Properties=species:S:1:pos:R:3 pbc="T T T"
Sm 1.8116 0.0000 0.0000
Sm 1.8253 2.6006 2.5845
Sm 1.8253 7.8018 2.5845
Sm 1.8390 5.2012 0.0000
Sm 5.4621 5.2012 0.0000
Sm 5.4759 2.6006 2.5845
Sm 5.4759 7.8018 2.5845
Sm 5.4896 0.0000 0.0000
Ag 0.0000 2.6747 0.0000
Ag 0.0000 7.7277 0.0000
Ag 3.6506 2.5265 0.0000
Ag 3.6506 7.8759 0.0000
Au 0.0000 0.0000 2.5845
Au 3.6506 5.2012 2.5845
```

Output
DFT formation energy = -2.01 eV per formula unit
Electronic total energy = -59.74 eV for the cell shown

***

9.
This record from the Alexandria database describes a relaxed Sm3Ag4Au2 crystal. The functional is PBE-GGA.

Geometry as extended XYZ:
```
18
Lattice="7.0776 -5.5951 0.0000 7.0776 5.5951 0.0000 -1.0668 0.0000 5.2688" Properties=species:S:1:pos:R:3 pbc="T T T"
Sm 6.2775 4.2570 3.9516
Sm 3.6999 1.4383 4.8928
Sm 4.2333 -1.4383 2.2584
Sm 8.8551 1.4383 3.0104
Sm 9.3885 -1.4383 0.3760
Sm 6.8109 -4.2570 1.3172
Ag 2.7622 1.3954 1.9725
Ag 5.7512 1.3419 2.5654
Ag 2.2289 -1.3954 4.6069
Ag 7.8706 1.3419 0.0690
Ag 5.2179 -1.3419 5.1998
Ag 10.8596 1.3954 0.6619
Ag 7.3372 -1.3419 2.7034
Ag 10.3262 -1.3954 3.2963
Au 5.2974 4.1602 0.9728
Au 8.3245 4.1602 1.6616
Au 4.7640 -4.1602 3.6072
Au 7.7911 -4.1602 4.2960
```

Output
DFT formation energy = -3.31 eV per formula unit
Electronic total energy = -70.86 eV for the cell shown

***

10.
This record from the Alexandria database describes a relaxed Sm3AgAu crystal. The functional is PBE-GGA.

Geometry as extended XYZ:
```
20
Lattice="7.7036 -5.2880 0.0000 7.7036 5.2880 0.0000 -1.3463 0.0000 7.1312" Properties=species:S:1:pos:R:3 pbc="T T T"
Sm 2.5033 1.3519 0.2252
Sm 5.8442 3.2775 3.6778
Sm 7.5435 3.2775 7.0190
Sm 1.8301 -1.3519 3.7908
Sm 4.5723 0.1670 6.6858
Sm 5.2455 -0.1670 3.1202
Sm 8.8154 0.1670 4.0110
Sm 9.4886 -0.1670 0.4454
Sm 12.2308 1.3519 3.3404
Sm 6.5174 -3.2775 0.1122
Sm 8.2167 -3.2775 3.4534
Sm 11.5576 -1.3519 6.9060
Ag 3.1920 1.7650 4.6868
Ag 3.8652 -1.7650 1.1212
Ag 10.1958 1.7650 6.0101
Ag 10.8689 -1.7650 2.4444
Au 7.3670 5.0196 1.7828
Au 7.3670 1.5594 1.7828
Au 6.6939 -1.5594 5.3484
Au 6.6939 -5.0196 5.3484
```

Output
DFT formation energy = -1.51 eV per formula unit
Electronic total energy = -87.18 eV for the cell shown
Energy above the most stable polymorph in this dataset = 117 meV per atom

***

11.
This record from the Alexandria database describes a relaxed Sm3Ag2Au4 crystal. The functional is PBE-GGA.

Geometry as extended XYZ:
```
18
Lattice="7.0460 -5.5845 0.0000 7.0460 5.5845 0.0000 -1.1610 0.0000 5.2869" Properties=species:S:1:pos:R:3 pbc="T T T"
Sm 6.1752 4.2217 3.9652
Sm 3.7074 1.4031 5.0222
Sm 4.2879 -1.4031 2.3787
Sm 8.6430 1.4031 2.9082
Sm 9.2235 -1.4031 0.2647
Sm 6.7557 -4.2217 1.3217
Ag 2.6838 1.4185 2.0272
Ag 2.1033 -1.4185 4.6707
Ag 10.8276 1.4185 0.6162
Ag 10.2471 -1.4185 3.2597
Au 5.1988 4.2692 0.9247
Au 8.3126 4.2692 1.7187
Au 5.5305 1.4656 2.6488
Au 6.8199 1.4656 5.2816
Au 6.1110 -1.4656 0.0053
Au 7.4004 -1.4656 2.6382
Au 4.6183 -4.2692 3.5682
Au 7.7321 -4.2692 4.3622
```

Output
DFT formation energy = -4.99 eV per formula unit
Electronic total energy = -75.92 eV for the cell shown

***

12.
This record from the Alexandria database describes a relaxed SmAg6Au2 crystal. The functional is PBE-GGA.

Geometry as extended XYZ:
```
9
Lattice="7.3388 -4.1009 0.0000 7.3388 4.1009 0.0000 -0.6012 0.0000 2.9448" Properties=species:S:1:pos:R:3 pbc="T T T"
Sm 0.0000 0.0000 0.0000
Ag 4.5921 2.6549 0.9606
Ag 7.0382 1.3719 1.4724
Ag 9.4842 2.6549 1.9842
Ag 4.5921 -2.6549 0.9606
Ag 7.0382 -1.3719 1.4724
Ag 9.4842 -2.6549 1.9842
Au 4.5859 0.0000 2.5030
Au 9.4904 0.0000 0.4418
```

Output
DFT formation energy = -0.09 eV per formula unit
Electronic total energy = -28.47 eV for the cell shown

***

13.
This record from the Alexandria database describes a relaxed SmAg4Au4 crystal. The functional is PBE-GGA.

Geometry as extended XYZ:
```
9
Lattice="-4.4321 4.4321 2.2121 4.4321 -4.4321 2.2121 4.4321 4.4321 -2.2121" Properties=species:S:1:pos:R:3 pbc="T T T"
Sm 0.0000 0.0000 0.0000
Ag 3.0217 0.0000 0.0000
Ag 5.8426 0.0000 0.0000
Ag 0.0000 3.0217 0.0000
Ag 0.0000 5.8426 0.0000
Au 2.9284 2.9284 0.0000
Au 1.5037 -1.5037 2.2121
Au -1.5037 1.5037 2.2121
Au 1.5037 1.5037 2.2121
```

Output
DFT formation energy = -1.90 eV per formula unit
Electronic total energy = -31.13 eV for the cell shown

***

14.
This record from the Alexandria database describes a relaxed SmAg5Au7 crystal. The functional is PBE-GGA.

Geometry as extended XYZ:
```
13
Lattice="-2.7909 4.8170 4.7277 2.7909 -4.8170 4.7277 2.7909 4.8170 -4.7277" Properties=species:S:1:pos:R:3 pbc="T T T"
Sm 0.0000 0.0000 0.0000
Ag 1.3896 2.4061 2.2535
Ag 1.4013 -2.4109 6.9813
Ag 0.0000 4.8170 2.4090
Ag 1.3896 7.2278 2.2535
Ag 1.4013 2.4109 6.9813
Au 2.7909 1.8488 -0.1169
Au 2.7909 0.0000 2.0612
Au 2.7909 -1.5248 4.6127
Au 0.0000 0.0000 3.2152
Au 2.7909 1.5248 4.6127
Au 0.0000 0.0000 6.1966
Au 0.0000 2.9681 4.6108
```

Output
DFT formation energy = -1.98 eV per formula unit
Electronic total energy = -43.90 eV for the cell shown

***

15.
This record from the Alexandria database describes a relaxed Sm3Ag2Au6 crystal. The functional is PBE-GGA.

Geometry as extended XYZ:
```
11
Lattice="-2.1293 2.1293 13.7228 2.1293 -2.1293 13.7228 2.1293 2.1293 -13.7228" Properties=species:S:1:pos:R:3 pbc="T T T"
Sm 0.0000 0.0000 0.0000
Sm 0.0000 0.0000 5.5156
Sm 0.0000 0.0000 21.9299
Ag 0.0000 0.0000 12.4072
Ag 0.0000 0.0000 15.0384
Au 2.1293 0.0000 3.1136
Au 0.0000 0.0000 8.5466
Au 2.1293 0.0000 10.6091
Au 0.0000 2.1293 3.1136
Au 0.0000 0.0000 18.8989
Au 0.0000 2.1293 10.6091
```

Output
DFT formation energy = -5.27 eV per formula unit
Electronic total energy = -44.79 eV for the cell shown

***

16.
This record from the Alexandria database describes a relaxed Sm6Ag5Au crystal. The functional is PBE-GGA.

Geometry as extended XYZ:
```
12
Lattice="5.2604 0.0000 0.0000 0.0000 7.3428 0.0000 -2.5820 0.0000 7.9043" Properties=species:S:1:pos:R:3 pbc="T T T"
Sm 0.0000 1.8063 0.0000
Sm 0.0000 5.5365 0.0000
Sm 0.0320 1.8276 5.3027
Sm 0.0320 5.5152 5.3027
Sm 2.6464 1.8276 2.6016
Sm 2.6464 5.5152 2.6016
Ag 0.0162 3.6714 2.6368
Ag 0.0161 0.0000 2.7146
Ag 2.6302 3.6714 0.0000
Ag 2.6623 0.0000 5.1898
Ag 2.6622 3.6714 5.2675
Au 2.6302 0.0000 0.0000
```

Output
DFT formation energy = -4.44 eV per formula unit
Electronic total energy = -50.29 eV for the cell shown

***

17.
This record from the Alexandria database describes a relaxed Sm4AgAu7 crystal. The functional is PBE-GGA.

Geometry as extended XYZ:
```
12
Lattice="7.2131 -2.5737 0.0000 7.2131 2.5737 0.0000 -4.9687 0.0000 7.8253" Properties=species:S:1:pos:R:3 pbc="T T T"
Sm -0.3260 0.0000 1.9364
Sm -0.4410 0.0000 5.9703
Sm 9.8984 0.0000 1.8550
Sm 9.7834 0.0000 5.8888
Ag 4.7287 0.0000 3.9126
Au -2.4843 0.0000 3.9126
Au 2.2489 0.0000 0.3869
Au 1.8872 0.0000 4.0734
Au 5.2039 0.0000 1.1131
Au 4.2535 0.0000 6.7122
Au 7.5703 0.0000 3.7519
Au 7.2085 0.0000 7.4384
```

Output
DFT formation energy = -7.13 eV per formula unit
Electronic total energy = -51.80 eV for the cell shown

***

18.
This record from the Alexandria database describes a relaxed Sm6AgAu5 crystal. The functional is PBE-GGA.

Geometry as extended XYZ:
```
12
Lattice="-2.5978 3.6805 7.8149 2.5978 -3.6805 7.8149 2.5978 3.6805 -7.8149" Properties=species:S:1:pos:R:3 pbc="T T T"
Sm 2.5978 1.8262 -2.6319
Sm 0.0000 1.8056 0.0000
Sm 2.5978 1.8262 2.6319
Sm 0.0000 1.8543 5.1831
Sm 0.0000 5.5553 0.0000
Sm 0.0000 1.8543 10.4468
Ag 0.0000 0.0000 7.8149
Au 2.5978 0.0000 0.0000
Au 0.0000 0.0000 2.6296
Au 2.5978 0.0000 5.3317
Au 0.0000 3.6805 2.4832
Au 0.0000 0.0000 13.0003
```

Output
DFT formation energy = -8.57 eV per formula unit
Electronic total energy = -56.12 eV for the cell shown

***

19.
This record from the Alexandria database describes a relaxed SmAg6Au12 crystal. The functional is PBE-GGA.

Geometry as extended XYZ:
```
19
Lattice="6.0857 3.5136 3.0410 -6.0857 3.5136 3.0410 0.0000 -7.0271 3.0410" Properties=species:S:1:pos:R:3 pbc="T T T"
Sm 0.0000 0.0000 0.0000
Ag 0.0000 -2.7059 3.9423
Ag -2.3434 1.3529 3.9423
Ag -2.3434 -1.3529 5.1805
Ag 2.3434 1.3529 3.9423
Ag 2.3434 -1.3529 5.1805
Ag 0.0000 2.7059 5.1805
Au -1.5165 -0.8756 2.4053
Au -2.3541 -4.0774 4.5614
Au -4.7082 0.0000 4.5614
Au 1.5165 -0.8756 2.4053
Au 0.0000 1.7511 2.4053
Au 2.3541 -4.0774 4.5614
Au -2.3541 4.0774 4.5614
Au 0.0000 -1.7511 6.7175
Au -1.5165 0.8756 6.7175
Au 4.7082 0.0000 4.5614
Au 2.3541 4.0774 4.5614
Au 1.5165 0.8756 6.7175
```

Output
DFT formation energy = -0.59 eV per formula unit
Electronic total energy = -61.75 eV for the cell shown

***

20.
This record from the Alexandria database describes a relaxed Sm2Ag2Au crystal. The functional is PBE-GGA.

Geometry as extended XYZ:
```
10
Lattice="5.2253 0.0000 0.0000 -0.0179 5.2512 0.0000 -2.5851 -0.0184 8.5878" Properties=species:S:1:pos:R:3 pbc="T T T"
Sm -0.0066 1.3119 2.4829
Sm 0.0154 1.2945 6.1041
Sm 2.6068 3.9384 2.4838
Sm 2.6289 3.9210 6.1049
Ag -0.0033 3.9404 0.6813
Ag 0.0245 3.9181 7.9073
Ag 2.5978 1.3148 0.6805
Ag 2.6255 1.2925 7.9065
Au 0.0142 3.9273 4.2982
Au 2.6081 1.3055 4.2896
```

Output
DFT formation energy = -2.34 eV per formula unit
Electronic total energy = -41.51 eV for the cell shown
Energy above the most stable polymorph in this dataset = 0 meV per atom

***

21.
This record from the Alexandria database describes a relaxed SmAg2Au9 crystal. The functional is PBE-GGA.

Geometry as extended XYZ:
```
12
Lattice="2.7575 1.5920 9.2565 -2.7575 1.5920 9.2565 0.0000 -3.1840 9.2565" Properties=species:S:1:pos:R:3 pbc="T T T"
Sm 0.0000 0.0000 0.0000
Ag 0.0000 0.0000 4.1517
Ag 0.0000 0.0000 23.6179
Au -1.3924 -0.8039 11.6395
Au 0.0000 0.0000 9.2517
Au 0.0000 -1.6078 16.1301
Au -1.3924 0.8039 16.1301
Au 0.0000 0.0000 13.8848
Au 1.3924 -0.8039 11.6395
Au 0.0000 1.6078 11.6395
Au 0.0000 0.0000 18.5179
Au 1.3924 0.8039 16.1301
```

Output
DFT formation energy = -2.04 eV per formula unit
Electronic total energy = -41.96 eV for the cell shown